The following is a DFT calculation (PBE) of Tl2CrPb after structural relaxation.

Lattice parameters (Å, degrees): 5.3528 5.3528 5.3528 60.00 60.00 60.00
Closest atoms and distances in Å follow each position.
Fractional positions:
Tl  0.0000  0.0000  0.0000  4 Cr 3.28, 4 Tl 3.28
Tl  0.2500  0.2500  0.2500  4 Pb 3.28, 4 Tl 3.28
Cr  0.7500  0.7500  0.7500  4 Pb 3.28, 4 Tl 3.28
Pb  0.5000  0.5000  0.5000  4 Cr 3.28, 4 Tl 3.28

Output
SG: F-43m (216)
energy of formation: 441 meV/atom
E above lowest polymorph: 106.0 meV per atom
magnetization: 1.13 μB per atom
total energy: -16.301 eV for the cell shown